1.
Here is an optimized crystal structure of K2RbBi2Pt from the Alexandria database. Energies are from GGA-PBE.

Space-group type = Ibam, No. 72
Electronic total energy = -3.1158 eV per atom
Energy of formation from the pure elements = -1.73 eV per formula unit

Unit cell a=7.7882 b=9.7997 c=9.2913 alpha=121.83 beta=114.78 gamma=90.00
Closest atoms and distances in Å follow each position.
Fractional coordinates of all 12 atoms:
K 0.6955 0.8329 0.3910  3 Bi 3.50-3.82, 2 Pt 3.58
K 0.1955 0.5581 0.3910  3 Bi 3.50-3.82, 2 Pt 3.58
K 0.8045 0.4419 0.6090  3 Bi 3.50-3.82, 2 Pt 3.58
K 0.3045 0.1671 0.6090  3 Bi 3.50-3.82, 2 Pt 3.58
Rb 0.2500 0.0000 0.0000  4 Bi 3.75, 2 Rb 3.89
Rb 0.7500 0.0000 0.0000  4 Bi 3.75, 2 Rb 3.89
Bi 0.4424 0.6260 0.8848  2 Pt 2.77
Bi 0.5576 0.3740 0.1152  2 Pt 2.77
Bi 0.0576 0.7412 0.1152  2 Pt 2.77
Bi 0.9424 0.2588 0.8848  2 Pt 2.77
Pt 0.7500 0.5000 0.0000  4 Bi 2.77
Pt 0.2500 0.5000 0.0000  4 Bi 2.77

2.
Here is an optimized crystal structure of BaZn2GePt from the Alexandria database. Energies are from GGA-PBE.

Space-group type = Imm2, No. 44
Electronic total energy = -3.4906 eV per atom
Relative energy among the computed polymorphs = 0 meV/atom
Energy of formation from the pure elements = -2.32 eV per formula unit

Unit cell a=4.6062 b=4.5686 c=6.1719 alpha=111.72 beta=111.91 gamma=90.00
Closest atoms and distances in Å follow each position.
Fractional coordinates of all 5 atoms:
Ba 0.4408 0.4408 0.8815  4 Pt 3.40-3.58, 8 Zn 3.47-3.54, 4 Ge 3.54
Zn 0.6890 0.1890 0.3780  2 Ge 2.59, 2 Zn 2.59
Zn 0.0756 0.0756 0.1511  2 Zn 2.59, 2 Pt 2.64, 1 Ge 2.84
Ge 0.8056 0.8056 0.6112  2 Pt 2.55, 3 Zn 2.59-2.84
Pt 0.2012 0.7012 0.4024  2 Ge 2.55, 2 Zn 2.64

3.
Here is an optimized crystal structure of Ce8InSb5 from the Alexandria database. Energies are from GGA-PBE.

Space-group type = I-4, No. 82
Electronic total energy = -5.8496 eV per atom

Unit cell a=8.2034 b=8.2034 c=8.2034 alpha=109.61 beta=109.19 gamma=109.61
Closest atoms and distances in Å follow each position.
Fractional coordinates of all 14 atoms:
Ce 0.1264 0.7556 0.0259  5 Sb 3.18-3.40, 1 In 3.21, 1 Ce 3.53
Ce 0.9741 0.1005 0.7298  5 Sb 3.18-3.40, 1 In 3.21, 1 Ce 3.53
Ce 0.7700 0.2454 0.3710  5 Sb 3.17-3.36, 1 In 3.41
Ce 0.6290 0.3990 0.8745  5 Sb 3.17-3.36, 1 In 3.41
Ce 0.4754 0.6010 0.2300  5 Sb 3.17-3.36, 1 In 3.41
Ce 0.6293 0.8995 0.8736  5 Sb 3.18-3.40, 1 In 3.21, 1 Ce 3.53
Ce 0.2702 0.2444 0.3707  5 Sb 3.18-3.40, 1 In 3.21, 1 Ce 3.53
Ce 0.1255 0.7546 0.5246  5 Sb 3.17-3.36, 1 In 3.41
In 0.2500 0.5000 0.7500  8 Ce 3.21-3.41
Sb 0.0012 0.3778 0.1285  8 Ce 3.18-3.40
Sb 0.8715 0.8727 0.2493  8 Ce 3.18-3.40
Sb 0.7507 0.6222 0.6234  8 Ce 3.18-3.40
Sb 0.5000 0.0000 0.5000  8 Ce 3.17-3.37
Sb 0.3766 0.1273 0.9988  8 Ce 3.18-3.40

4.
Here is an optimized crystal structure of AcGePd3 from the Alexandria database. Energies are from GGA-PBE.

Space-group type = Fmm2, No. 42
Electronic total energy = -5.6373 eV per atom
Relative energy among the computed polymorphs = 12 meV/atom
Energy of formation from the pure elements = -3.88 eV per formula unit

Unit cell a=4.2904 b=4.2902 c=6.3320 alpha=70.24 beta=70.24 gamma=90.08
Closest atoms and distances in Å follow each position.
Fractional coordinates of all 5 atoms:
Ac 0.3887 0.1922 0.9284  8 Pd 3.17-3.47, 4 Ge 3.40-3.41
Ge 0.0281 0.8314 0.6497  5 Pd 2.47-2.50
Pd 0.6432 0.9464 0.4192  2 Ge 2.50
Pd 0.1428 0.4466 0.4192  2 Ge 2.50
Pd 0.8050 0.6086 0.0947  1 Ge 2.47

Ρ (computed, g cm⁻³): 4.922 8.053 7.208 10.042
Volume (computed, Å³/f.u.): 262.1 110.5 425.0 102.3
DOS at the Fermi energy (computed, states/eV/f.u.): 1.82 2.14 54.06 2.00